A plane-wave DFT calculation with PBE+U was carried out for CaTb4Al2Fe2O12 after structural relaxation.

Unit cell a=5.731 b=6.175 c=7.328 alpha=90.26 beta=91.28 gamma=97.46
Space group P1 (No. 1)
One atom of each set of equivalent atoms:
1 Ca 0.000 0.000 0.000 x1
2 Tb 0.164 0.841 0.395 x1
3 Tb 0.243 0.648 0.836 x1
4 Tb 0.567 0.200 0.892 x1
5 Tb 0.585 0.349 0.401 x1
6 Al 0.070 0.258 0.630 x1
7 Al 0.582 0.745 0.143 x1
8 Fe 0.061 0.394 0.183 x1
9 Fe 0.725 0.796 0.617 x1
10 O 0.184 0.982 0.713 x1
11 O 0.189 0.212 0.392 x1
12 O 0.333 0.903 0.102 x1
13 O 0.397 0.406 0.684 x1
14 O 0.410 0.470 0.089 x1
15 O 0.514 0.720 0.396 x1
16 O 0.649 0.823 0.888 x1
17 O 0.754 0.175 0.178 x1
18 O 0.757 0.126 0.598 x1
19 O 0.886 0.685 0.185 x1
20 O 0.966 0.560 0.562 x1
21 O 0.985 0.338 0.878 x1

Properties
Excess energy over the best structure of this formula in the dataset ... 0.33 kcal/mol of atoms
Size of the total moment ... 0.383 μB per atom

A plane-wave DFT calculation with PBE+U was carried out for CaTb4Al2Fe2O12 after structural relaxation.

Unit cell a=6.165 b=6.241 c=7.063 alpha=90.67 beta=94.59 gamma=91.69
Space group P1 (No. 1)
One atom of each set of equivalent atoms:
1 Ca 0.000 0.000 0.000 x1
2 Tb 0.424 0.359 0.536 x1
3 Tb 0.503 0.181 0.014 x1
4 Tb 0.673 0.667 0.090 x1
5 Tb 0.811 0.892 0.541 x1
6 Al 0.249 0.829 0.322 x1
7 Al 0.966 0.389 0.781 x1
8 Fe 0.348 0.768 0.772 x1
9 Fe 0.900 0.315 0.315 x1
10 O 0.002 0.665 0.325 x1
11 O 0.026 0.670 0.749 x1
12 O 0.180 0.191 0.785 x1
13 O 0.185 0.106 0.363 x1
14 O 0.329 0.841 0.082 x1
15 O 0.453 0.743 0.494 x1
16 O 0.511 0.488 0.833 x1
17 O 0.545 0.414 0.254 x1
18 O 0.658 0.934 0.832 x1
19 O 0.737 0.000 0.236 x1
20 O 0.789 0.274 0.583 x1
21 O 0.877 0.347 0.014 x1

Properties
Excess energy over the best structure of this formula in the dataset ... 0.00 kcal/mol of atoms
Size of the total moment ... 0.381 μB per atom